1.
Compound: LaTh2Fe9
Source: the Alexandria database
Functional: PBE
Structure: relaxed

As for the crystal system: trigonal. Its calculated volume is 16.03 Å³ per atom.

The space group is R-3m (No. 166, hexagonal axes) and the conventional cell measures 5.1841, 5.1841 and 24.7888 Å, with angles of 90.00, 90.00 and 120.00 degrees. Symmetry generates all atoms from La at (0.0000, 0.0000, 0.0000), Th at (0.0000, 0.0000, 0.1404), Fe at (0.0000, 0.0000, 0.3326), Fe at (0.0000, 0.0000, 0.5000) and Fe at (0.0011, 0.5006, 0.0819).



2.
Compound: LaTh3Fe
Source: the Alexandria database
Functional: PBE
Structure: relaxed

As for the crystal system: cubic. Its calculated volume is 30.70 Å³ per atom.

The space group is Pm-3m (No. 221) and the conventional cell measures 5.354, 5.354 and 5.354 Å, with angles of 90.00, 90.00 and 90.00 degrees. Symmetry generates all atoms from La at (0.000, 0.000, 0.000), Th at (0.000, 0.500, 0.500) and Fe at (0.500, 0.500, 0.500).



3.
Compound: LaTi2Fe2
Source: the Alexandria database
Functional: PBE
Structure: relaxed

As for the crystal system: tetragonal. Its calculated volume is 17.82 Å³ per atom. The calculation puts the offset from the most stable computed form at 0 meV/atom.

The space group is I4/mmm (No. 139) and the conventional cell measures 4.107, 4.107 and 10.564 Å, with angles of 90.00, 90.00 and 90.00 degrees. Symmetry generates all atoms from La at (0.000, 0.000, 0.000), Ti at (0.000, 0.500, 0.250) and Fe at (0.000, 0.000, 0.387).



4.
Compound: LaTiFe3
Source: the Alexandria database
Functional: PBE
Structure: relaxed

As for the crystal system: cubic. Its calculated volume is 18.04 Å³ per atom. The calculation puts the offset from the most stable computed form at 1000 meV/atom.

The space group is Pm-3m (No. 221) and the conventional cell measures 4.485, 4.485 and 4.485 Å, with angles of 90.00, 90.00 and 90.00 degrees. Symmetry generates all atoms from La at (0.000, 0.000, 0.000), Ti at (0.500, 0.500, 0.500) and Fe at (0.000, 0.000, 0.500).



| no. | E_form (eV per formula unit) |
| --- | --- |
| 1 | -0.18 |
| 2 | 0.27 |
| 3 | -0.29 |
| 4 | 7.82 |